Compound: Al2Pt2O5
Source: OQMD
Functional: PBE
Structure: optimized geometry

The space group is P4/mmm (No. 123) and the conventional cell measures 3.559, 3.559 and 7.579 Å, with angles of 90.00, 90.00 and 90.00 degrees. The asymmetric unit holds Al at (0.000, 0.000, 0.239), Pt at (0.500, 0.500, 0.000), Pt at (0.500, 0.500, 0.500), O at (0.000, 0.000, 0.000) and O at (0.000, 0.500, 0.324).

The calculation puts the energy above the most stable polymorph in this dataset at 0.0 meV/atom.